No. 1
VASP calculation (meta-GGA SCAN) on a PBEsol-optimized structure of Sn3PAu. Values from VASP.

```
&SYSTEM
  ibrav = 0, nat = 5, ntyp = 3
/
ATOMIC_SPECIES
P 30.97 P.upf
Au 196.97 Au.upf
Sn 118.71 Sn.upf
CELL_PARAMETERS angstrom
5.0066 0.0000 0.0000
0.0000 5.0066 0.0000
0.0000 0.0000 5.0066
ATOMIC_POSITIONS crystal
P 0.0000 0.0000 0.0000
Au 0.5000 0.5000 0.5000
Sn 0.0000 0.5000 0.0000
Sn 0.0000 0.0000 0.5000
Sn 0.5000 0.0000 0.0000
```

Values from the calculation:
The formation enthalpy at 0 K comes out at 0.71 eV/atom. Its space group is No. 221. As for the size of the total moment: 0.000 μB per atom.

=====

No. 2
VASP calculation (meta-GGA SCAN) on a PBEsol-optimized structure of SnP7Au3. Values from VASP.

```
&SYSTEM
  ibrav = 0, nat = 22, ntyp = 3
/
ATOMIC_SPECIES
Sn 118.71 Sn.upf
P 30.97 P.upf
Au 196.97 Au.upf
CELL_PARAMETERS angstrom
-6.0469 -0.6264 -1.5528
1.5188 -4.5549 4.2569
-2.7937 6.7069 8.1732
ATOMIC_POSITIONS crystal
Sn 0.3119 0.0437 0.7500
Sn 0.6881 0.9563 0.2500
P 0.7380 0.2885 0.7500
P 0.2620 0.7115 0.2500
P 0.7979 0.7061 0.4115
P 0.2021 0.2939 0.9115
P 0.2021 0.2939 0.5885
P 0.7979 0.7061 0.0885
P 0.7174 0.8040 0.5933
P 0.2826 0.1960 0.0933
P 0.1660 0.8335 0.0770
P 0.8340 0.1665 0.5770
P 0.8340 0.1665 0.9230
P 0.1660 0.8335 0.4230
P 0.7174 0.8040 0.9067
P 0.2826 0.1960 0.4067
Au 0.6870 0.3113 0.3999
Au 0.3130 0.6887 0.8999
Au 0.3130 0.6887 0.6001
Au 0.6870 0.3113 0.1001
Au 0.9288 0.6840 0.7500
Au 0.0712 0.3160 0.2500
```

Values from the calculation:
The formation enthalpy at 0 K comes out at -0.17 eV/atom. Its space group is No. 11. As for the size of the total moment: 0.000 μB per atom.

=====

No. 3
VASP calculation (meta-GGA SCAN) on a PBEsol-optimized structure of SrP2Au. Values from VASP.

```
&SYSTEM
  ibrav = 0, nat = 4, ntyp = 3
/
ATOMIC_SPECIES
Au 196.97 Au.upf
P 30.97 P.upf
Sr 87.62 Sr.upf
CELL_PARAMETERS angstrom
3.4203 0.0000 0.0000
0.0000 3.4203 0.0000
0.0000 0.0000 6.8056
ATOMIC_POSITIONS crystal
Au 0.5000 0.5000 0.7845
P 0.0000 0.0000 0.0528
P 0.5000 0.5000 0.1628
Sr 0.0000 0.0000 0.4999
```

Values from the calculation:
The formation enthalpy at 0 K comes out at -0.22 eV/atom. Its space group is No. 99. As for the size of the total moment: 0.000 μB per atom.